one) ! KCa3Ir (PBE, optimized geometry); values from VASP
! SG = No. 221
! Calculated density = 3.9 g cm⁻³
&SYSTEM
  ibrav = 0, nat = 5, ntyp = 3
/
ATOMIC_SPECIES
K 39.10 K.upf
Ca 40.08 Ca.upf
Ir 192.22 Ir.upf
CELL_PARAMETERS angstrom
5.318 0.000 0.000
0.000 5.318 0.000
0.000 0.000 5.318
ATOMIC_POSITIONS angstrom
K 0.000 0.000 0.000
Ca 0.000 0.000 2.659
Ca 0.000 2.659 0.000
Ca 2.659 0.000 0.000
Ir 2.659 2.659 2.659



two) ! KCa3Ir (PBE, optimized geometry); values from VASP
! SG = No. 221
! Calculated density = 3.2 g cm⁻³
&SYSTEM
  ibrav = 0, nat = 5, ntyp = 3
/
ATOMIC_SPECIES
K 39.10 K.upf
Ca 40.08 Ca.upf
Ir 192.22 Ir.upf
CELL_PARAMETERS angstrom
5.700 0.000 0.000
0.000 5.700 0.000
0.000 0.000 5.700
ATOMIC_POSITIONS angstrom
K 0.000 0.000 0.000
Ca 0.000 2.850 2.850
Ca 2.850 0.000 2.850
Ca 2.850 2.850 0.000
Ir 2.850 2.850 2.850



Energy ordering: two) at the bottom, the next structure 1721 meV/atom above.



one) ! K2CaIr (PBE, optimized geometry); values from VASP
! SG = No. 47
! Calculated density = 4.1 g cm⁻³
&SYSTEM
  ibrav = 0, nat = 4, ntyp = 3
/
ATOMIC_SPECIES
K 39.10 K.upf
Ca 40.08 Ca.upf
Ir 192.22 Ir.upf
CELL_PARAMETERS angstrom
3.613 0.000 0.000
0.000 5.609 0.000
0.000 0.000 6.162
ATOMIC_POSITIONS angstrom
K 0.000 0.000 1.379
K 0.000 0.000 4.782
Ca 1.807 2.804 3.081
Ir 1.807 2.804 0.000



two) ! K2CaIr (PBE, optimized geometry); values from VASP
! SG = No. 8
! Calculated density = 3.1 g cm⁻³
&SYSTEM
  ibrav = 0, nat = 8, ntyp = 3
/
ATOMIC_SPECIES
K 39.10 K.upf
Ca 40.08 Ca.upf
Ir 192.22 Ir.upf
CELL_PARAMETERS angstrom
8.233 0.000 0.000
0.000 4.728 0.000
-2.733 0.000 8.607
ATOMIC_POSITIONS angstrom
K 0.000 0.000 0.000
K -0.007 0.000 4.776
K 4.117 2.364 0.000
K 4.110 2.364 4.776
Ca 2.735 0.000 2.393
Ca 6.852 2.364 2.393
Ir 1.356 2.364 2.399
Ir 5.473 0.000 2.399



three) ! K2CaIr (PBE, optimized geometry); values from VASP
! SG = No. 166
! Calculated density = 3.9 g cm⁻³
&SYSTEM
  ibrav = 0, nat = 12, ntyp = 3
/
ATOMIC_SPECIES
K 39.10 K.upf
Ca 40.08 Ca.upf
Ir 192.22 Ir.upf
CELL_PARAMETERS angstrom
3.492 0.000 0.000
-1.746 3.024 0.000
0.000 0.000 37.947
ATOMIC_POSITIONS angstrom
K 0.000 0.000 8.772
K 0.000 0.000 29.175
K 0.000 2.016 16.526
K 0.000 2.016 34.070
K 1.746 1.008 3.877
K 1.746 1.008 21.421
Ca 0.000 0.000 0.000
Ca 0.000 2.016 25.298
Ca 1.746 1.008 12.649
Ir 0.000 0.000 18.973
Ir 0.000 2.016 6.325
Ir 1.746 1.008 31.622



four) ! K2CaIr (PBE, optimized geometry); values from VASP
! SG = No. 225
! Calculated density = 4.3 g cm⁻³
&SYSTEM
  ibrav = 0, nat = 16, ntyp = 3
/
ATOMIC_SPECIES
K 39.10 K.upf
Ca 40.08 Ca.upf
Ir 192.22 Ir.upf
CELL_PARAMETERS angstrom
7.812 0.000 0.000
0.000 7.812 0.000
0.000 0.000 7.812
ATOMIC_POSITIONS angstrom
K 1.953 1.953 1.953
K 1.953 1.953 5.859
K 1.953 5.859 1.953
K 1.953 5.859 5.859
K 5.859 1.953 1.953
K 5.859 1.953 5.859
K 5.859 5.859 1.953
K 5.859 5.859 5.859
Ca 0.000 0.000 0.000
Ca 0.000 3.906 3.906
Ca 3.906 0.000 3.906
Ca 3.906 3.906 0.000
Ir 0.000 0.000 3.906
Ir 0.000 3.906 0.000
Ir 3.906 0.000 0.000
Ir 3.906 3.906 3.906



Energy ordering: two) at the bottom, the next structure 421 meV/atom above.



one) ! K2CaIr (PBE, optimized geometry); values from VASP
! SG = No. 139
! Calculated density = 4.4 g cm⁻³
&SYSTEM
  ibrav = 0, nat = 8, ntyp = 3
/
ATOMIC_SPECIES
K 39.10 K.upf
Ca 40.08 Ca.upf
Ir 192.22 Ir.upf
CELL_PARAMETERS angstrom
4.524 0.000 0.000
0.000 4.524 0.000
0.000 0.000 11.476
ATOMIC_POSITIONS angstrom
K 0.000 2.262 2.869
K 0.000 2.262 8.607
K 2.262 0.000 2.869
K 2.262 0.000 8.607
Ca 0.000 0.000 0.000
Ca 2.262 2.262 5.738
Ir 0.000 0.000 5.738
Ir 2.262 2.262 0.000



two) ! K2CaIr (PBE, optimized geometry); values from VASP
! SG = No. 216
! Calculated density = 4.5 g cm⁻³
&SYSTEM
  ibrav = 0, nat = 16, ntyp = 3
/
ATOMIC_SPECIES
K 39.10 K.upf
Ca 40.08 Ca.upf
Ir 192.22 Ir.upf
CELL_PARAMETERS angstrom
7.686 0.000 0.000
0.000 7.686 0.000
0.000 0.000 7.686
ATOMIC_POSITIONS angstrom
K 0.000 0.000 0.000
K 0.000 3.843 3.843
K 1.922 1.922 1.922
K 1.922 5.765 5.765
K 3.843 0.000 3.843
K 3.843 3.843 0.000
K 5.765 1.922 5.765
K 5.765 5.765 1.922
Ca 1.922 1.922 5.765
Ca 1.922 5.765 1.922
Ca 5.765 1.922 1.922
Ca 5.765 5.765 5.765
Ir 0.000 0.000 3.843
Ir 0.000 3.843 0.000
Ir 3.843 0.000 0.000
Ir 3.843 3.843 3.843



three) ! K2CaIr (PBE, optimized geometry); values from VASP
! SG = No. 99
! Calculated density = 3.4 g cm⁻³
&SYSTEM
  ibrav = 0, nat = 4, ntyp = 3
/
ATOMIC_SPECIES
K 39.10 K.upf
Ca 40.08 Ca.upf
Ir 192.22 Ir.upf
CELL_PARAMETERS angstrom
3.691 0.000 0.000
0.000 3.691 0.000
0.000 0.000 11.127
ATOMIC_POSITIONS angstrom
K 0.000 0.000 0.000
K 1.846 1.846 4.215
Ca 0.000 0.000 7.690
Ir 1.846 1.846 8.938



four) ! K2CaIr (PBE, optimized geometry); values from VASP
! SG = No. 12
! Calculated density = 3.3 g cm⁻³
&SYSTEM
  ibrav = 0, nat = 8, ntyp = 3
/
ATOMIC_SPECIES
K 39.10 K.upf
Ca 40.08 Ca.upf
Ir 192.22 Ir.upf
CELL_PARAMETERS angstrom
20.100 0.000 0.000
0.000 3.416 0.000
-1.072 0.000 4.537
ATOMIC_POSITIONS angstrom
K 2.851 0.000 0.672
K 6.128 1.708 3.865
K 12.901 1.708 0.672
K 16.178 0.000 3.865
Ca -0.536 0.000 2.269
Ca 9.514 1.708 2.269
Ir 0.000 1.708 0.000
Ir 10.050 0.000 0.000



Energy ordering: four) at the bottom, the next structure 37 meV/atom above.



one) ! K2CaIr (PBE, optimized geometry); values from VASP
! SG = No. 65
! Calculated density = 4.0 g cm⁻³
&SYSTEM
  ibrav = 0, nat = 8, ntyp = 3
/
ATOMIC_SPECIES
K 39.10 K.upf
Ca 40.08 Ca.upf
Ir 192.22 Ir.upf
CELL_PARAMETERS angstrom
5.917 0.000 0.000
0.000 10.879 0.000
0.000 0.000 3.956
ATOMIC_POSITIONS angstrom
K 1.479 2.720 0.000
K 1.479 8.160 0.000
K 4.437 2.720 0.000
K 4.437 8.160 0.000
Ca 0.000 0.000 1.978
Ca 2.958 5.440 1.978
Ir 0.000 5.440 1.978
Ir 2.958 0.000 1.978



two) ! K2CaIr (PBE, optimized geometry); values from VASP
! SG = No. 44
! Calculated density = 3.2 g cm⁻³
&SYSTEM
  ibrav = 0, nat = 8, ntyp = 3
/
ATOMIC_SPECIES
K 39.10 K.upf
Ca 40.08 Ca.upf
Ir 192.22 Ir.upf
CELL_PARAMETERS angstrom
3.482 0.000 0.000
0.000 5.940 0.000
0.000 0.000 15.374
ATOMIC_POSITIONS angstrom
K 0.000 0.000 0.000
K 0.000 2.970 2.527
K 1.741 0.000 10.214
K 1.741 2.970 7.687
Ca 0.000 2.970 13.103
Ca 1.741 0.000 5.416
Ir 0.000 0.000 7.471
Ir 1.741 2.970 15.158



three) ! K2CaIr (PBE, optimized geometry); values from VASP
! SG = No. 122
! Calculated density = 4.2 g cm⁻³
&SYSTEM
  ibrav = 0, nat = 16, ntyp = 3
/
ATOMIC_SPECIES
K 39.10 K.upf
Ca 40.08 Ca.upf
Ir 192.22 Ir.upf
CELL_PARAMETERS angstrom
4.452 0.000 0.000
0.000 4.452 0.000
0.000 0.000 24.593
ATOMIC_POSITIONS angstrom
K 1.020 3.339 3.074
K 1.113 1.020 21.519
K 1.113 1.206 9.222
K 1.206 3.339 15.371
K 3.246 1.113 15.371
K 3.339 3.246 9.222
K 3.339 3.432 21.519
K 3.432 1.113 3.074
Ca 0.000 0.000 12.297
Ca 0.000 2.226 18.445
Ca 2.226 0.000 6.148
Ca 2.226 2.226 0.000
Ir 0.000 0.000 0.000
Ir 0.000 2.226 6.148
Ir 2.226 0.000 18.445
Ir 2.226 2.226 12.297



four) ! K2CaIr (PBE, optimized geometry); values from VASP
! SG = No. 123
! Calculated density = 3.8 g cm⁻³
&SYSTEM
  ibrav = 0, nat = 4, ntyp = 3
/
ATOMIC_SPECIES
K 39.10 K.upf
Ca 40.08 Ca.upf
Ir 192.22 Ir.upf
CELL_PARAMETERS angstrom
3.317 0.000 0.000
0.000 3.317 0.000
0.000 0.000 12.337
ATOMIC_POSITIONS angstrom
K 0.000 0.000 2.253
K 0.000 0.000 10.084
Ca 1.658 1.658 6.168
Ir 1.658 1.658 0.000



Energy ordering: two) at the bottom, the next structure 245 meV/atom above.



one) ! KCa2LaIr (PBE, optimized geometry); values from VASP
! SG = No. 123
! Calculated density = 3.9 g cm⁻³
&SYSTEM
  ibrav = 0, nat = 5, ntyp = 4
/
ATOMIC_SPECIES
K 39.10 K.upf
Ca 40.08 Ca.upf
La 138.91 La.upf
Ir 192.22 Ir.upf
CELL_PARAMETERS angstrom
5.868 0.000 0.000
0.000 5.868 0.000
0.000 0.000 5.519
ATOMIC_POSITIONS angstrom
K 0.000 0.000 0.000
Ca 0.000 2.934 2.760
Ca 2.934 0.000 2.760
La 2.934 2.934 0.000
Ir 2.934 2.934 2.760



two) ! KCa2LaIr (PBE, optimized geometry); values from VASP
! SG = No. 123
! Calculated density = 3.5 g cm⁻³
&SYSTEM
  ibrav = 0, nat = 5, ntyp = 4
/
ATOMIC_SPECIES
K 39.10 K.upf
Ca 40.08 Ca.upf
La 138.91 La.upf
Ir 192.22 Ir.upf
CELL_PARAMETERS angstrom
6.542 0.000 0.000
0.000 6.542 0.000
0.000 0.000 5.012
ATOMIC_POSITIONS angstrom
K 0.000 0.000 0.000
Ca 0.000 3.271 2.506
Ca 3.271 0.000 2.506
La 3.271 3.271 2.506
Ir 3.271 3.271 0.000



three) ! KCa2LaIr (PBE, optimized geometry); values from VASP
! SG = No. 123
! Calculated density = 4.0 g cm⁻³
&SYSTEM
  ibrav = 0, nat = 5, ntyp = 4
/
ATOMIC_SPECIES
K 39.10 K.upf
Ca 40.08 Ca.upf
La 138.91 La.upf
Ir 192.22 Ir.upf
CELL_PARAMETERS angstrom
5.501 0.000 0.000
0.000 5.501 0.000
0.000 0.000 6.143
ATOMIC_POSITIONS angstrom
K 0.000 0.000 0.000
Ca 0.000 2.751 3.072
Ca 2.751 0.000 3.072
La 2.751 2.751 0.000
Ir 0.000 0.000 3.072



Energy ordering: one) at the bottom, the next structure 600 meV/atom above.